Entry 1:
{
  "formula": "HfAl2Se",
  "functional": "PBE",
  "state": "optimized geometry",
  "mass_density_kg_m3": 6551,
  "magnetic_moment_mub_per_atom": 0.00,
  "final_energy_ry_per_atom": -0.386,
  "cell": [[7.605, 0.000, 0.000], [0.000, 7.605, 0.000], [3.803, 3.803, 2.730]],
  "species": ["Hf", "Hf", "Al", "Al", "Al", "Al", "Se", "Se"],
  "frac_coords": [[0.000, 0.000, 0.000], [0.750, 0.250, 0.500], [0.602, 0.125, 0.250], [0.148, 0.625, 0.250], [0.375, 0.398, 0.750], [0.875, 0.852, 0.750], [0.500, 0.500, 0.000], [0.250, 0.750, 0.500]]
}

Entry 2:
{
  "formula": "Hf2AlSe",
  "functional": "PBE",
  "state": "optimized geometry",
  "mass_density_kg_m3": 6863,
  "magnetic_moment_mub_per_atom": 0.00,
  "e_above_lowest_polymorph_ev_per_fu": 3.67,
  "cell": [[-2.965, -4.626, 1.741], [2.758, 0.136, 5.060], [-4.901, 1.773, 5.907]],
  "species": ["Hf", "Hf", "Hf", "Hf", "Al", "Al", "Se", "Se"],
  "frac_coords": [[0.631, 0.125, 0.250], [0.119, 0.625, 0.250], [0.375, 0.369, 0.750], [0.875, 0.881, 0.750], [0.500, 0.500, 0.000], [0.250, 0.750, 0.500], [0.000, 0.000, 0.000], [0.750, 0.250, 0.500]]
}

Entry 3:
{
  "formula": "Hf2AlSe",
  "functional": "PBE",
  "state": "optimized geometry",
  "mass_density_kg_m3": 9921,
  "magnetic_moment_mub_per_atom": 0.00,
  "e_above_lowest_polymorph_ev_per_fu": 1.28,
  "cell": [[3.000, -1.294, -3.497], [3.243, -3.432, 0.777], [-0.482, -4.269, -2.109]],
  "species": ["Hf", "Hf", "Al", "Se"],
  "frac_coords": [[0.250, 0.250, 0.250], [0.750, 0.750, 0.750], [0.000, 0.000, 0.000], [0.500, 0.500, 0.500]]
}

Entry 4:
{
  "formula": "Hf6AlSe",
  "functional": "PBE",
  "state": "optimized geometry",
  "mass_density_kg_m3": 11882,
  "magnetic_moment_mub_per_atom": 0.00,
  "final_energy_ry_per_atom": -0.633,
  "cell": [[7.262, 1.107, -1.501], [4.862, 5.474, -1.627], [2.353, 1.418, 4.160]],
  "species": ["Hf", "Hf", "Hf", "Hf", "Hf", "Hf", "Al", "Se"],
  "frac_coords": [[0.256, 0.257, 0.743], [0.886, 0.886, 0.614], [0.386, 0.386, 0.114], [0.114, 0.114, 0.386], [0.744, 0.743, 0.257], [0.614, 0.614, 0.886], [0.500, 0.500, 0.500], [0.000, 0.000, 0.000]]
}

Entry 5:
{
  "formula": "HfAlSe2",
  "functional": "PBE",
  "state": "optimized geometry",
  "mass_density_kg_m3": 5996,
  "magnetic_moment_mub_per_atom": 0.00,
  "final_energy_ry_per_atom": -0.433,
  "cell": [[-3.790, -7.835, 2.630], [-0.298, -8.772, 2.373], [-1.527, -7.168, 5.381]],
  "species": ["Hf", "Al", "Se", "Se"],
  "frac_coords": [[0.500, 0.500, 0.500], [0.000, 0.000, 0.000], [0.896, 0.896, 0.896], [0.104, 0.104, 0.104]]
}

Entry 6:
{
  "formula": "HfAlSe3",
  "functional": "PBE",
  "state": "optimized geometry",
  "mass_density_kg_m3": 6628,
  "magnetic_moment_mub_per_atom": 0.00,
  "e_above_lowest_polymorph_ev_per_fu": 4.19,
  "cell": [[-1.021, -1.708, 4.372], [3.960, -2.716, -0.136], [2.520, 3.575, 1.986]],
  "species": ["Hf", "Al", "Se", "Se", "Se"],
  "frac_coords": [[0.500, 0.500, 0.500], [0.000, 0.000, 0.000], [0.000, 0.500, 0.000], [0.000, 0.000, 0.500], [0.500, 0.000, 0.000]]
}

Entry 7:
{
  "formula": "HfAlSe2",
  "functional": "PBE",
  "state": "optimized geometry",
  "mass_density_kg_m3": 5725,
  "magnetic_moment_mub_per_atom": 0.00,
  "final_energy_ry_per_atom": -0.401,
  "cell": [[6.093, 0.000, 0.000], [0.000, 6.093, 0.000], [3.046, 3.046, 5.679]],
  "species": ["Hf", "Hf", "Al", "Al", "Se", "Se", "Se", "Se"],
  "frac_coords": [[0.000, 0.000, 0.000], [0.750, 0.250, 0.500], [0.500, 0.500, 0.000], [0.250, 0.750, 0.500], [0.616, 0.125, 0.250], [0.134, 0.625, 0.250], [0.375, 0.384, 0.750], [0.875, 0.866, 0.750]]
}

Entry 8:
{
  "formula": "HfAlSe3",
  "functional": "PBE",
  "state": "optimized geometry",
  "mass_density_kg_m3": 5231,
  "magnetic_moment_mub_per_atom": 0.00,
  "e_above_lowest_polymorph_ev_per_fu": 2.35,
  "cell": [[5.198, 0.000, 0.000], [0.000, 5.198, 0.000], [0.000, 0.000, 5.198]],
  "species": ["Hf", "Al", "Se", "Se", "Se"],
  "frac_coords": [[0.000, 0.000, 0.000], [0.500, 0.500, 0.500], [0.000, 0.500, 0.000], [0.000, 0.000, 0.500], [0.500, 0.000, 0.000]]
}